The following is a DFT calculation (PBE) of crystalline SrNdIN at its relaxed geometry.

Lattice parameters (Å, degrees): 3.8952 3.8952 15.3881 90.00 90.00 120.00
Sites, in units of the cell vectors:
Sr 0.3333 0.6667 0.0876
Sr 0.6667 0.3333 0.9124
Nd 0.3333 0.6667 0.4180
Nd 0.6667 0.3333 0.5820
I 0.3333 0.6667 0.7412
I 0.6667 0.3333 0.2588
N 0.0000 0.0000 0.0000
N 0.0000 0.0000 0.5000

Computed properties:
Its symmetry is P-3m1 (164). The total moment is 0.00 μB/f.u. As for the energy above the most stable polymorph in this dataset: 0 meV per atom.

---

The following is a DFT calculation (PBE) of crystalline LiCoSn2 at its relaxed geometry.

Lattice parameters (Å, degrees): 4.7226 4.7226 4.7226 60.00 60.00 60.00
Sites, in units of the cell vectors:
Li 0.0000 0.0000 0.0000
Co 0.2500 0.2500 0.2500
Sn 0.5000 0.5000 0.5000
Sn 0.7500 0.7500 0.7500

Computed properties:
Its symmetry is F-43m (216). Its total energy is -3.957 eV/atom. The total moment is 1.11 μB/f.u.

---

The following is a DFT calculation (PBE) of crystalline Cu7Ag3 at its relaxed geometry.

Lattice parameters (Å, degrees): 11.0094 11.0094 4.5853 96.25 96.25 14.39
Sites, in units of the cell vectors:
Cu 0.0000 0.0000 0.0000
Cu 0.0978 0.0978 0.7017
Cu 0.2002 0.2002 0.4175
Cu 0.5007 0.5007 0.5032
Cu 0.6952 0.6952 0.8864
Cu 0.7940 0.7940 0.6035
Cu 0.9052 0.9052 0.2999
Ag 0.2971 0.2971 0.1099
Ag 0.3994 0.3994 0.7909
Ag 0.6002 0.6002 0.2042

Computed properties:
Its symmetry is Cm (8). The value obtained for the formation energy is 0.09 eV per atom. As for the energy above the most stable polymorph in this dataset: 50 meV per atom.

---

The following is a DFT calculation (PBE) of crystalline Hf2Sc4Ni3N3 at its relaxed geometry.

Lattice parameters (Å, degrees): 5.4264 5.4264 13.5078 101.51 101.51 60.05
Sites, in units of the cell vectors:
Hf 0.0352 0.8700 0.6078
Hf 0.1300 0.9648 0.8922
Hf 0.8700 0.0352 0.1078
Hf 0.9648 0.1300 0.3922
Sc 0.1979 0.3649 0.0929
Sc 0.3035 0.4679 0.4071
Sc 0.3649 0.1979 0.5929
Sc 0.4679 0.3035 0.9071
Sc 0.5321 0.6965 0.0929
Sc 0.6351 0.8021 0.4071
Sc 0.6965 0.5321 0.5929
Sc 0.8021 0.6351 0.9071
Ni 0.0837 0.3769 0.7495
Ni 0.3769 0.0837 0.2495
Ni 0.4475 0.5525 0.2500
Ni 0.5525 0.4475 0.7500
Ni 0.6231 0.9163 0.7505
Ni 0.9163 0.6231 0.2505
N 0.0000 0.5000 0.5000
N 0.1568 0.6869 0.0000
N 0.3131 0.8432 0.5000
N 0.5000 0.0000 0.0000
N 0.6869 0.1568 0.5000
N 0.8432 0.3131 0.0000

Computed properties:
Its symmetry is C2/c (15). Its total energy is -8.218 eV/atom. The total moment is 0.01 μB/f.u.